Entry 1:
DFT (PBE-GGA) results for an optimized crystal structure of Tl3HgS3.

a = 8.8560 Å, b = 8.8560 Å, c = 6.2540 Å
α = 90.00°, β = 90.00°, γ = 119.96°
Atoms (fractional coordinates):
1 Tl 0.1974 0.3941 0.7500
2 Tl 0.1968 0.8032 0.7500
3 Tl 0.3941 0.1974 0.2500
4 Tl 0.6059 0.8026 0.7500
5 Tl 0.8032 0.1968 0.2500
6 Tl 0.8026 0.6059 0.2500
7 Hg 0.3330 0.6670 0.2500
8 Hg 0.6670 0.3330 0.7500
9 S 0.1709 0.8291 0.2500
10 S 0.1716 0.3427 0.2500
11 S 0.3427 0.1716 0.7500
12 S 0.6573 0.8284 0.2500
13 S 0.8284 0.6573 0.7500
14 S 0.8291 0.1709 0.7500

Calculated values
As for the symmetry: Cmcm, No. 63. As for the formation energy without anion corrections: -0.17 eV/atom.

---

Entry 2:
DFT (PBE-GGA) results for an optimized crystal structure of AcLaAs2Pt2.

a = 4.4324 Å, b = 4.4324 Å, c = 8.3117 Å
α = 90.00°, β = 90.00°, γ = 120.00°
Atoms (fractional coordinates):
1 Ac 0.0000 0.0000 0.0000
2 La 0.0000 0.0000 0.5000
3 As 0.3333 0.6667 0.2649
4 As 0.6667 0.3333 0.7351
5 Pt 0.3333 0.6667 0.7478
6 Pt 0.6667 0.3333 0.2522

Calculated values
Its formation energy is -1.300 eV per atom. As for the symmetry: P-3m1, No. 164.